Entry from Alexandria: a geometry-optimized K2SbPd2 structure (PBE).

a b c (Å): 6.9276 6.9276 5.5330
angles (deg): 90.00 90.00 90.00
Closest atoms and distances in Å follow each position.
Atoms (fractional coordinates):
K1 0.6754 0.8246 0.5000  6 Pd 3.30-3.54, 5 K 3.44-3.61
K2 0.3246 0.1754 0.5000  6 Pd 3.30-3.54, 5 K 3.44-3.61
Pd1 0.6415 0.1415 0.0000  2 Sb 2.67, 1 Pd 2.77
Pd2 0.3585 0.8585 0.0000  2 Sb 2.67, 1 Pd 2.77
Pd3 0.8585 0.6415 0.0000  2 Sb 2.67, 1 Pd 2.77
Pd4 0.1415 0.3585 0.0000  2 Sb 2.67, 1 Pd 2.77
K3 0.1754 0.6754 0.5000  6 Pd 3.30-3.54, 5 K 3.44-3.61
Sb1 0.5000 0.5000 0.0000  4 Pd 2.67
K4 0.8246 0.3246 0.5000  6 Pd 3.30-3.54, 5 K 3.44-3.61
Sb2 0.0000 0.0000 0.0000  4 Pd 2.67

Output
**Symmetry**: P4/mbm, No. 127
**E_form (uncorrected)**: -118 kJ/mol of formula units
**Final energy**: -3.59 eV/atom